PBE TaZnInCo, relaxed; final energy = -5.618 eV/atom; calculated volume = 62.10 Å³/f.u.; offset from the most stable computed form = 0 kJ/mol of formula units
1.0
-0.701 -2.227 3.783
-3.056 1.436 2.891
-3.770 -2.285 0.568
Zn In Ta Co
1 1 1 1
Direct
0.250 0.250 0.250
0.000 0.000 0.000
0.500 0.500 0.500
0.750 0.750 0.750